1.
As2IrBrN | PBE | relaxed

Computed properties:
- E_form (uncorrected) (meV per atom) = 1397

Cell lengths 4.7424, 4.7424, 5.5697 Å; angles 90.00, 90.00, 90.00 degrees
Fractional coordinates of all 5 atoms:
As: 0.0000 0.5000 0.0000
As: 0.5000 0.0000 0.0000
Ir: 0.0000 0.0000 0.0000
Br: 0.0000 0.0000 0.5000
N: 0.5000 0.5000 0.5000

=====

2.
As2IrBrN | PBE | relaxed

Computed properties:
- E_form (uncorrected) (meV per atom) = 1231

Cell lengths 4.3449, 4.3449, 4.2672 Å; angles 90.00, 90.00, 90.00 degrees
Fractional coordinates of all 5 atoms:
As: 0.0000 0.5000 0.0000
As: 0.5000 0.0000 0.0000
Ir: 0.0000 0.0000 0.5000
Br: 0.5000 0.5000 0.5000
N: 0.5000 0.5000 0.0000

=====

3.
NbAsIrBr2 | PBE | relaxed

Computed properties:
- E_form (uncorrected) (meV per atom) = 925

Cell lengths 5.2373, 5.2373, 4.6355 Å; angles 90.00, 90.00, 90.00 degrees
Fractional coordinates of all 5 atoms:
Nb: 0.0000 0.0000 0.0000
As: 0.5000 0.5000 0.0000
Ir: 0.5000 0.5000 0.5000
Br: 0.0000 0.5000 0.5000
Br: 0.5000 0.0000 0.5000

=====

4.
NbAsIrBr2 | PBE | relaxed

Computed properties:
- E_form (uncorrected) (meV per atom) = 1047

Cell lengths 4.9782, 4.9782, 5.2579 Å; angles 90.00, 90.00, 90.00 degrees
Fractional coordinates of all 5 atoms:
Nb: 0.0000 0.0000 0.0000
As: 0.0000 0.0000 0.5000
Ir: 0.5000 0.5000 0.5000
Br: 0.0000 0.5000 0.0000
Br: 0.5000 0.0000 0.0000

=====

5.
Nd4AsIrBr2 | PBE | relaxed

Computed properties:
- E_form (uncorrected) (meV per atom) = -1222

Cell lengths 7.6509, 4.1411, 7.8171 Å; angles 90.00, 107.37, 90.00 degrees
Fractional coordinates of all 8 atoms:
Nd: 0.2146 0.0000 0.1976
Nd: 0.2545 0.5000 0.7930
Nd: 0.7455 0.5000 0.2070
Nd: 0.7854 0.0000 0.8024
As: 0.5000 0.0000 0.0000
Ir: 0.0000 0.5000 0.0000
Br: 0.0000 0.0000 0.5000
Br: 0.5000 0.5000 0.5000

=====

6.
NiAs2IrBr | PBE | relaxed

Computed properties:
- E_form (uncorrected) (meV per atom) = 952

Cell lengths 4.4951, 4.4951, 4.7631 Å; angles 90.00, 90.00, 90.00 degrees
Fractional coordinates of all 5 atoms:
Ni: 0.0000 0.0000 0.0000
As: 0.0000 0.5000 0.0000
As: 0.5000 0.0000 0.0000
Ir: 0.5000 0.5000 0.5000
Br: 0.0000 0.0000 0.5000

=====

7.
NiAs2IrBr | PBE | relaxed

Computed properties:
- E_form (uncorrected) (meV per atom) = 906

Cell lengths 4.7170, 4.7170, 5.4023 Å; angles 90.00, 90.00, 90.00 degrees
Fractional coordinates of all 5 atoms:
Ni: 0.0000 0.0000 0.0000
As: 0.0000 0.5000 0.5000
As: 0.5000 0.0000 0.5000
Ir: 0.5000 0.5000 0.5000
Br: 0.5000 0.5000 0.0000

=====

8.
As2IrBrO | PBE | relaxed

Computed properties:
- E_form (uncorrected) (meV per atom) = 743

Cell lengths 4.0677, 4.0677, 5.3509 Å; angles 90.00, 90.00, 90.00 degrees
Fractional coordinates of all 5 atoms:
As: 0.0000 0.5000 0.0000
As: 0.5000 0.0000 0.0000
Ir: 0.0000 0.0000 0.5000
Br: 0.5000 0.5000 0.5000
O: 0.5000 0.5000 0.0000

=====

no.,V (Å³/atom),DOS at the Fermi energy (states/eV/cell),total energy (eV for the cell shown)
1,25.1,3.50,-21.2
2,16.1,2.28,-22.0
3,25.4,4.46,-22.3
4,26.1,7.87,-21.7
5,29.5,5.46,-45.7
6,19.2,4.97,-20.9
7,24.0,7.20,-21.1
8,17.7,1.48,-21.1